# 1
In2SnAu8 | GGA-PBE | relaxed

Values from the calculation:
Size of the total moment: 0.0 μB/cell
Space-group type: C2/m
Electronic total energy: -36.72 eV per cell
Energy of formation: -93 meV/atom

Structure (POSCAR):
```
In2SnAu8
1.0
-2.142 3.541 0.503
-7.158 -3.854 -3.353
2.964 -1.555 6.990
In Sn Au
2 1 8
Direct
0.151 0.648 0.295
0.849 0.352 0.705
0.500 0.000 0.000
0.663 0.904 0.329
0.337 0.575 0.671
0.170 0.174 0.348
0.000 0.250 0.000
0.830 0.826 0.652
0.663 0.425 0.329
0.337 0.096 0.671
0.000 0.750 0.000
```

---

# 2
MgMoPd | GGA-PBE | relaxed

Values from the calculation:
E above lowest polymorph: 75 meV/atom
Size of the total moment: 0.0 μB/cell
Space-group type: Pnma
Electronic total energy: -72.06 eV per cell
Energy of formation: -133 meV/atom

Structure (POSCAR):
```
MgMoPd
1.0
7.945 0.000 0.000
0.000 3.088 0.000
0.000 0.000 8.486
Mo Mg Pd
4 4 4
Direct
0.900 0.250 0.442
0.600 0.750 0.942
0.100 0.750 0.558
0.400 0.250 0.058
0.933 0.250 0.840
0.567 0.750 0.340
0.067 0.750 0.160
0.433 0.250 0.660
0.275 0.250 0.353
0.225 0.750 0.853
0.725 0.750 0.647
0.775 0.250 0.147
```

---

# 3
TaRe2As | GGA-PBE | relaxed

Values from the calculation:
Size of the total moment: 0.0 μB/cell
Space-group type: C2/m
Electronic total energy: -40.63 eV per cell
Energy of formation: 192 meV/atom

Structure (POSCAR):
```
TaRe2As
1.0
-2.461 -3.723 1.415
0.522 -4.382 1.563
-0.049 0.848 4.746
Re As Ta
2 1 1
Direct
0.991 0.991 0.001
0.509 0.509 0.499
0.750 0.750 0.750
0.250 0.250 0.250
```

---

# 4
Sm2GdPb | GGA-PBE | relaxed

Values from the calculation:
E above lowest polymorph: 372 meV/atom
Size of the total moment: 7.3 μB/cell
Space-group type: R-3m
Electronic total energy: -27.05 eV per cell
Energy of formation: 44 meV/atom

Structure (POSCAR):
```
Sm2GdPb
1.0
-1.060 3.407 0.273
-3.489 0.794 -0.003
-1.767 0.347 12.271
Pb Gd Sm
1 1 2
Direct
0.000 0.000 0.000
0.500 0.500 0.500
0.088 0.088 0.737
0.912 0.912 0.263
```

---

# 5
RbLi2GeF8 | GGA-PBE | relaxed

Values from the calculation:
Size of the total moment: 1.1 μB/cell
Space-group type: P-1
Electronic total energy: -54.53 eV per cell

Structure (POSCAR):
```
RbLi2GeF8
1.0
-2.360 -1.398 3.798
-2.523 -2.933 -2.614
5.085 -5.941 0.757
Rb Li Ge F
1 2 1 8
Direct
0.000 0.000 0.500
0.505 0.517 0.826
0.495 0.483 0.174
0.000 0.000 0.000
0.191 0.789 0.173
0.715 0.727 0.002
0.816 0.185 0.163
0.809 0.211 0.827
0.285 0.273 0.998
0.184 0.815 0.837
0.515 0.649 0.582
0.485 0.351 0.418
```

---

# 6
Sr8In2Pd | GGA-PBE | relaxed

Values from the calculation:
Size of the total moment: 0.0 μB/cell
Space-group type: C2/m
Electronic total energy: -27.18 eV per cell
Energy of formation: -278 meV/atom

Structure (POSCAR):
```
Sr8In2Pd
1.0
5.634 0.000 -1.465
-0.432 7.560 -1.661
-0.286 -0.844 10.468
Sr In Pd
8 2 1
Direct
0.594 0.424 0.189
0.347 0.045 0.695
0.209 0.298 0.418
0.025 0.791 0.050
0.791 0.702 0.582
0.653 0.955 0.305
0.406 0.576 0.811
0.975 0.209 0.950
0.182 0.713 0.365
0.818 0.287 0.635
0.500 0.000 0.000
```

---

# 7
CeEr3Tl4Te8 | GGA-PBE | relaxed

Values from the calculation:
Size of the total moment: 1.0 μB/cell
Space-group type: R-3m
Electronic total energy: -70.62 eV per cell

Structure (POSCAR):
```
CeEr3Tl4Te8
1.0
8.935 0.000 0.000
0.000 9.668 0.511
-4.468 -4.463 6.321
Ce Er Tl Te
1 3 4 8
Direct
0.000 0.500 0.000
0.500 0.500 0.000
0.500 0.500 0.500
0.000 0.500 0.500
0.500 0.000 0.000
0.500 0.000 0.500
0.000 0.000 0.000
0.000 0.000 0.500
0.243 0.714 0.971
0.243 0.714 0.485
0.263 0.290 0.527
0.729 0.714 0.971
0.271 0.286 0.029
0.737 0.710 0.473
0.757 0.286 0.515
0.757 0.286 0.029
```

---

# 8
ZrHgH | GGA-PBE | relaxed

Values from the calculation:
E above lowest polymorph: 0 meV/atom
Size of the total moment: 0.0 μB/cell
Space-group type: P-6m2
Electronic total energy: -13.11 eV per cell

Structure (POSCAR):
```
ZrHgH
1.0
3.432 0.000 0.000
-1.716 2.972 0.000
0.000 0.000 4.752
H Hg Zr
1 1 1
Direct
0.333 0.667 0.500
0.000 0.000 0.000
0.667 0.333 0.500
```

---

Number 2 is which compound?
MgMoPd

---

What did the second record say?
MgMoPd | GGA-PBE | relaxed

Values from the calculation:
E above lowest polymorph: 75 meV/atom
Size of the total moment: 0.0 μB/cell
Space-group type: Pnma
Electronic total energy: -72.06 eV per cell
Energy of formation: -133 meV/atom

Structure (POSCAR):
```
MgMoPd
1.0
7.945 0.000 0.000
0.000 3.088 0.000
0.000 0.000 8.486
Mo Mg Pd
4 4 4
Direct
0.900 0.250 0.442
0.600 0.750 0.942
0.100 0.750 0.558
0.400 0.250 0.058
0.933 0.250 0.840
0.567 0.750 0.340
0.067 0.750 0.160
0.433 0.250 0.660
0.275 0.250 0.353
0.225 0.750 0.853
0.725 0.750 0.647
0.775 0.250 0.147
```